1.
# VTe2AuN

An optimized crystal structure of VTe2AuN (PBE, Alexandria).

As for the energy above the most stable polymorph in this dataset: 899 meV per atom. Its density is 7.14 g/cm³. The uncorrected formation energy is 1.093 eV/atom. Its total DFT energy (no corrections) is -4.307 eV per atom. The density of states at the Fermi level comes out at 1.278 states/eV per atom.

The space group is P4/mmm (No. 123) and the conventional cell measures 5.626, 5.626 and 3.799 Å, with angles of 90.00, 90.00 and 90.00 degrees. The asymmetric unit holds V at (0.000, 0.000, 0.000), Te at (0.000, 0.500, 0.500), Au at (0.500, 0.500, 0.500) and N at (0.500, 0.500, 0.000).

2.
# VTeAuN2

An optimized crystal structure of VTeAuN2 (PBE, Alexandria).

As for the energy above the most stable polymorph in this dataset: 1268 meV per atom. Its density is 5.58 g/cm³. The uncorrected formation energy is 1.694 eV/atom. Its total DFT energy (no corrections) is -4.744 eV per atom. The density of states at the Fermi level comes out at 1.399 states/eV per atom.

The space group is P4/mmm (No. 123) and the conventional cell measures 3.943, 3.943 and 7.725 Å, with angles of 90.00, 90.00 and 90.00 degrees. The asymmetric unit holds V at (0.000, 0.000, 0.000), Te at (0.500, 0.500, 0.000), Au at (0.500, 0.500, 0.500) and N at (0.000, 0.500, 0.500).

3.
# VTe2AuN

An optimized crystal structure of VTe2AuN (PBE, Alexandria).

As for the energy above the most stable polymorph in this dataset: 0 meV per atom. Its density is 8.24 g/cm³. The uncorrected formation energy is 0.194 eV/atom. Its total DFT energy (no corrections) is -5.206 eV per atom. The density of states at the Fermi level comes out at 0.695 states/eV per atom.

The space group is P4/mmm (No. 123) and the conventional cell measures 5.373, 5.373 and 3.611 Å, with angles of 90.00, 90.00 and 90.00 degrees. The asymmetric unit holds V at (0.000, 0.000, 0.000), Te at (0.000, 0.500, 0.000), Au at (0.500, 0.500, 0.500) and N at (0.000, 0.000, 0.500).